1.
An optimized crystal structure of CaFe2Tc2. Source: Alexandria via LeMat-Bulk, functional PBE. Values from VASP.

```
&SYSTEM
  ibrav = 0, nat = 10, ntyp = 3
/
ATOMIC_SPECIES
Ca 40.08 Ca.upf
Fe 55.84 Fe.upf
Tc 98.00 Tc.upf
ATOMIC_POSITIONS angstrom
Ca 0.000 0.000 0.000
Ca 3.776 3.776 0.000
Fe 1.250 2.526 1.316
Fe 2.526 6.301 1.316
Fe 5.026 1.250 1.316
Fe 6.301 5.026 1.316
Tc 0.926 4.702 0.000
Tc 2.850 0.926 0.000
Tc 4.702 6.626 0.000
Tc 6.626 2.850 0.000
CELL_PARAMETERS angstrom
7.552 0.000 0.000
0.000 7.552 0.000
0.000 0.000 2.632
```

As for the symmetry: No. 127.


2.
An optimized crystal structure of CaFe2Tc2. Source: Alexandria via LeMat-Bulk, functional PBE. Values from VASP.

```
&SYSTEM
  ibrav = 0, nat = 10, ntyp = 3
/
ATOMIC_SPECIES
Ca 40.08 Ca.upf
Fe 55.84 Fe.upf
Tc 98.00 Tc.upf
ATOMIC_POSITIONS angstrom
Ca 0.000 0.000 0.000
Ca 3.723 3.723 0.000
Fe 0.882 2.840 0.000
Fe 2.840 6.563 0.000
Fe 4.605 0.882 0.000
Fe 6.563 4.605 0.000
Tc 1.221 4.944 1.342
Tc 2.502 1.221 1.342
Tc 4.944 6.225 1.342
Tc 6.225 2.502 1.342
CELL_PARAMETERS angstrom
7.446 0.000 0.000
0.000 7.446 0.000
0.000 0.000 2.684
```

As for the symmetry: No. 127.


It is 1 that is the most stable of them.


1.
An optimized crystal structure of CaFeTc. Source: Alexandria via LeMat-Bulk, functional PBE. Values from VASP.

```
&SYSTEM
  ibrav = 0, nat = 12, ntyp = 3
/
ATOMIC_SPECIES
Ca 40.08 Ca.upf
Fe 55.84 Fe.upf
Tc 98.00 Tc.upf
ATOMIC_POSITIONS angstrom
Ca 0.000 0.000 0.000
Ca 0.000 3.219 3.219
Ca 3.219 0.000 3.219
Ca 3.219 3.219 0.000
Fe 1.610 1.610 1.610
Fe 1.610 4.829 4.829
Fe 4.829 1.610 4.829
Fe 4.829 4.829 1.610
Tc 1.610 1.610 4.829
Tc 1.610 4.829 1.610
Tc 4.829 1.610 1.610
Tc 4.829 4.829 4.829
CELL_PARAMETERS angstrom
6.439 0.000 0.000
0.000 6.439 0.000
0.000 0.000 6.439
```

As for the symmetry: No. 216.


2.
An optimized crystal structure of CaFeTc. Source: Alexandria via LeMat-Bulk, functional PBE. Values from VASP.

```
&SYSTEM
  ibrav = 0, nat = 3, ntyp = 3
/
ATOMIC_SPECIES
Ca 40.08 Ca.upf
Fe 55.84 Fe.upf
Tc 98.00 Tc.upf
ATOMIC_POSITIONS angstrom
Ca 0.000 0.000 0.000
Fe 0.000 1.742 2.567
Tc 1.509 0.871 4.288
CELL_PARAMETERS angstrom
3.018 0.000 0.000
-1.509 2.614 0.000
0.000 0.000 6.816
```

As for the symmetry: No. 156.


3.
An optimized crystal structure of CaFeTc. Source: Alexandria via LeMat-Bulk, functional PBE. Values from VASP.

```
&SYSTEM
  ibrav = 0, nat = 12, ntyp = 3
/
ATOMIC_SPECIES
Ca 40.08 Ca.upf
Fe 55.84 Fe.upf
Tc 98.00 Tc.upf
ATOMIC_POSITIONS angstrom
Ca 0.000 0.000 0.000
Ca 0.000 3.015 3.015
Ca 3.015 0.000 3.015
Ca 3.015 3.015 0.000
Fe 1.507 1.507 4.522
Fe 1.507 4.522 1.507
Fe 4.522 1.507 1.507
Fe 4.522 4.522 4.522
Tc 0.000 0.000 3.015
Tc 0.000 3.015 0.000
Tc 3.015 0.000 0.000
Tc 3.015 3.015 3.015
CELL_PARAMETERS angstrom
6.030 0.000 0.000
0.000 6.030 0.000
0.000 0.000 6.030
```

As for the symmetry: No. 216.


4.
An optimized crystal structure of CaFeTc. Source: Alexandria via LeMat-Bulk, functional PBE. Values from VASP.

```
&SYSTEM
  ibrav = 0, nat = 6, ntyp = 3
/
ATOMIC_SPECIES
Ca 40.08 Ca.upf
Fe 55.84 Fe.upf
Tc 98.00 Tc.upf
ATOMIC_POSITIONS angstrom
Ca 0.000 0.000 0.000
Ca 1.540 1.540 5.687
Fe 0.000 0.000 8.005
Fe 1.540 1.540 2.318
Tc 0.000 0.000 3.306
Tc 1.540 1.540 8.994
CELL_PARAMETERS angstrom
3.079 0.000 0.000
0.000 3.079 0.000
0.000 0.000 11.374
```

As for the symmetry: No. 107.


It is 4 that is the most stable of them.


1.
An optimized crystal structure of CaVFe2. Source: Alexandria via LeMat-Bulk, functional PBE. Values from VASP.

```
&SYSTEM
  ibrav = 0, nat = 16, ntyp = 3
/
ATOMIC_SPECIES
Ca 40.08 Ca.upf
V 50.94 V.upf
Fe 55.84 Fe.upf
ATOMIC_POSITIONS angstrom
Ca 0.000 0.000 0.000
Ca 0.000 3.150 3.150
Ca 3.150 0.000 3.150
Ca 3.150 3.150 0.000
V 0.000 0.000 3.150
V 0.000 3.150 0.000
V 3.150 0.000 0.000
V 3.150 3.150 3.150
Fe 1.575 1.575 1.575
Fe 1.575 1.575 4.725
Fe 1.575 4.725 1.575
Fe 1.575 4.725 4.725
Fe 4.725 1.575 1.575
Fe 4.725 1.575 4.725
Fe 4.725 4.725 1.575
Fe 4.725 4.725 4.725
CELL_PARAMETERS angstrom
6.300 0.000 0.000
0.000 6.300 0.000
0.000 0.000 6.300
```

As for the symmetry: No. 225.


2.
An optimized crystal structure of CaVFe2. Source: Alexandria via LeMat-Bulk, functional PBE. Values from VASP.

```
&SYSTEM
  ibrav = 0, nat = 16, ntyp = 3
/
ATOMIC_SPECIES
Ca 40.08 Ca.upf
V 50.94 V.upf
Fe 55.84 Fe.upf
ATOMIC_POSITIONS angstrom
Ca 0.000 1.159 5.842
Ca 0.000 3.477 9.737
Ca 2.318 1.159 1.947
Ca 2.318 3.477 13.632
V 0.000 1.159 13.632
V 0.000 3.477 1.947
V 2.318 1.159 9.737
V 2.318 3.477 5.842
Fe 0.000 0.000 0.000
Fe 0.000 2.318 0.000
Fe 1.159 1.159 11.685
Fe 1.159 3.477 3.895
Fe 2.318 0.000 7.790
Fe 2.318 2.318 7.790
Fe 3.477 1.159 11.685
Fe 3.477 3.477 3.895
CELL_PARAMETERS angstrom
4.637 0.000 0.000
0.000 4.637 0.000
0.000 0.000 15.579
```

As for the symmetry: No. 141.


It is 1 that is the most stable of them.


1.
An optimized crystal structure of CaV3Fe. Source: Alexandria via LeMat-Bulk, functional PBE. Values from VASP.

```
&SYSTEM
  ibrav = 0, nat = 5, ntyp = 3
/
ATOMIC_SPECIES
Ca 40.08 Ca.upf
V 50.94 V.upf
Fe 55.84 Fe.upf
ATOMIC_POSITIONS angstrom
Ca 0.000 0.000 0.000
V 0.000 0.000 2.159
V 0.000 2.159 0.000
V 2.159 0.000 0.000
Fe 2.159 2.159 2.159
CELL_PARAMETERS angstrom
4.318 0.000 0.000
0.000 4.318 0.000
0.000 0.000 4.318
```

As for the symmetry: No. 221.


2.
An optimized crystal structure of CaV3Fe. Source: Alexandria via LeMat-Bulk, functional PBE. Values from VASP.

```
&SYSTEM
  ibrav = 0, nat = 5, ntyp = 3
/
ATOMIC_SPECIES
Ca 40.08 Ca.upf
V 50.94 V.upf
Fe 55.84 Fe.upf
ATOMIC_POSITIONS angstrom
Ca 0.000 0.000 0.000
V 0.000 2.244 2.244
V 2.244 0.000 2.244
V 2.244 2.244 0.000
Fe 2.244 2.244 2.244
CELL_PARAMETERS angstrom
4.487 0.000 0.000
0.000 4.487 0.000
0.000 0.000 4.487
```

As for the symmetry: No. 221.


It is 2 that is the most stable of them.


1.
An optimized crystal structure of Ca2V2Fe. Source: Alexandria via LeMat-Bulk, functional PBE. Values from VASP.

```
&SYSTEM
  ibrav = 0, nat = 10, ntyp = 3
/
ATOMIC_SPECIES
Ca 40.08 Ca.upf
V 50.94 V.upf
Fe 55.84 Fe.upf
ATOMIC_POSITIONS angstrom
Ca 0.000 2.025 3.290
Ca 0.000 2.025 9.871
Ca 2.025 0.000 3.290
Ca 2.025 0.000 9.871
V 0.000 0.000 0.921
V 0.000 0.000 12.240
V 2.025 2.025 5.660
V 2.025 2.025 7.502
Fe 0.000 0.000 6.581
Fe 2.025 2.025 0.000
CELL_PARAMETERS angstrom
4.050 0.000 0.000
0.000 4.050 0.000
0.000 0.000 13.161
```

As for the symmetry: No. 139.


2.
An optimized crystal structure of Ca2V2Fe. Source: Alexandria via LeMat-Bulk, functional PBE. Values from VASP.

```
&SYSTEM
  ibrav = 0, nat = 10, ntyp = 3
/
ATOMIC_SPECIES
Ca 40.08 Ca.upf
V 50.94 V.upf
Fe 55.84 Fe.upf
ATOMIC_POSITIONS angstrom
Ca 1.139 1.917 0.000
Ca 1.917 4.973 0.000
Ca 4.195 1.139 0.000
Ca 4.973 4.195 0.000
V 0.880 3.936 2.631
V 2.176 0.880 2.631
V 3.936 5.232 2.631
V 5.232 2.176 2.631
Fe 0.000 0.000 2.631
Fe 3.056 3.056 2.631
CELL_PARAMETERS angstrom
6.112 0.000 0.000
0.000 6.112 0.000
0.000 0.000 5.263
```

As for the symmetry: No. 127.


It is 2 that is the most stable of them.


1.
An optimized crystal structure of Ca2VFe. Source: Alexandria via LeMat-Bulk, functional PBE. Values from VASP.

```
&SYSTEM
  ibrav = 0, nat = 16, ntyp = 3
/
ATOMIC_SPECIES
Ca 40.08 Ca.upf
V 50.94 V.upf
Fe 55.84 Fe.upf
ATOMIC_POSITIONS angstrom
Ca 0.833 2.717 0.528
Ca 2.717 6.267 1.585
Ca 2.717 10.036 3.698
Ca 4.601 2.717 2.641
Ca 6.267 8.152 2.641
Ca 8.152 0.833 3.698
Ca 8.152 4.601 1.585
Ca 10.036 8.152 0.528
V 0.000 0.000 2.113
V 0.000 5.434 3.170
V 5.434 0.000 1.057
V 5.434 5.434 0.000
Fe 0.000 0.000 0.000
Fe 0.000 5.434 1.057
Fe 5.434 0.000 3.170
Fe 5.434 5.434 2.113
CELL_PARAMETERS angstrom
10.869 0.000 0.000
0.000 10.869 0.000
0.000 0.000 4.226
```

As for the symmetry: No. 122.


2.
An optimized crystal structure of Ca2VFe. Source: Alexandria via LeMat-Bulk, functional PBE. Values from VASP.

```
&SYSTEM
  ibrav = 0, nat = 16, ntyp = 3
/
ATOMIC_SPECIES
Ca 40.08 Ca.upf
V 50.94 V.upf
Fe 55.84 Fe.upf
ATOMIC_POSITIONS angstrom
Ca 1.824 1.824 1.824
Ca 1.824 1.824 5.473
Ca 1.824 5.473 1.824
Ca 1.824 5.473 5.473
Ca 5.473 1.824 1.824
Ca 5.473 1.824 5.473
Ca 5.473 5.473 1.824
Ca 5.473 5.473 5.473
V 0.000 0.000 0.000
V 0.000 3.648 3.648
V 3.648 0.000 3.648
V 3.648 3.648 0.000
Fe 0.000 0.000 3.648
Fe 0.000 3.648 0.000
Fe 3.648 0.000 0.000
Fe 3.648 3.648 3.648
CELL_PARAMETERS angstrom
7.297 0.000 0.000
0.000 7.297 0.000
0.000 0.000 7.297
```

As for the symmetry: No. 225.


It is 1 that is the most stable of them.